1.
This record from Alexandria describes crystalline LiMgGaHg at its relaxed geometry. The functional is GGA-PBE.

Summary:
Crystal system: cubic
Energy relative to the elements, eV per atom: -0.231
V, Å³/atom: 19.0
Total magnetization, μB/atom: 0.000
SG: F-43m, No. 216
Distance to the lowest polymorph of the same formula, meV per atom: 6
DOS at the Fermi energy, states/eV/f.u.: 1.90

Cell lengths 6.730, 6.730, 6.730 Å; angles 90.00, 90.00, 90.00 degrees
Element x y z (fractional)
Li 0.000 0.000 0.000
Li 0.000 0.500 0.500
Li 0.500 0.000 0.500
Li 0.500 0.500 0.000
Mg 0.000 0.000 0.500
Mg 0.000 0.500 0.000
Mg 0.500 0.000 0.000
Mg 0.500 0.500 0.500
Ga 0.250 0.250 0.250
Ga 0.250 0.750 0.750
Ga 0.750 0.250 0.750
Ga 0.750 0.750 0.250
Hg 0.250 0.250 0.750
Hg 0.250 0.750 0.250
Hg 0.750 0.250 0.250
Hg 0.750 0.750 0.750

---

2.
This record from Alexandria describes crystalline AlV6Sb at its relaxed geometry. The functional is GGA-PBE.

Summary:
Crystal system: cubic
Energy relative to the elements, uncorrected, eV/atom: -0.1658
V, Å³/atom: 14.5
Total magnetization, μB/atom: 0.015
SG: Pm-3, No. 200
Distance to the lowest polymorph of the same formula, meV per atom: 0
DOS at the Fermi energy, states/eV/f.u.: 16.62

Cell lengths 4.880, 4.880, 4.880 Å; angles 90.00, 90.00, 90.00 degrees
Element x y z (fractional)
Al 0.000 0.000 0.000
V 0.000 0.239 0.500
V 0.000 0.761 0.500
V 0.239 0.500 0.000
V 0.500 0.000 0.239
V 0.500 0.000 0.761
V 0.761 0.500 0.000
Sb 0.500 0.500 0.500

---

3.
This record from Alexandria describes crystalline TiGaCoAu at its relaxed geometry. The functional is GGA-PBE.

Summary:
Crystal system: cubic
Energy relative to the elements, eV per atom: -0.257
V, Å³/atom: 14.9
Total magnetization, μB/atom: 0.271
SG: F-43m, No. 216
DOS at the Fermi energy, states/eV/f.u.: 3.14

Cell lengths 6.200, 6.200, 6.200 Å; angles 90.00, 90.00, 90.00 degrees
Element x y z (fractional)
Ti 0.000 0.000 0.000
Ti 0.000 0.500 0.500
Ti 0.500 0.000 0.500
Ti 0.500 0.500 0.000
Ga 0.000 0.000 0.500
Ga 0.000 0.500 0.000
Ga 0.500 0.000 0.000
Ga 0.500 0.500 0.500
Co 0.250 0.250 0.750
Co 0.250 0.750 0.250
Co 0.750 0.250 0.250
Co 0.750 0.750 0.750
Au 0.250 0.250 0.250
Au 0.250 0.750 0.750
Au 0.750 0.250 0.750
Au 0.750 0.750 0.250